! NaPmSn2 PBE relaxed; values from VASP
! * formation energy from the elements: -0.411 eV per atom
! * symmetry: P4/mmm (123)
! * E: -3.930 eV/atom
! * calculated density: 6027 kg/m3
&SYSTEM
  ibrav = 0, nat = 4, ntyp = 3
/
ATOMIC_SPECIES
Sn 118.71 Sn.upf
Pm 145.00 Pm.upf
Na 22.99 Na.upf
ATOMIC_POSITIONS crystal
Sn 0.000 0.000 0.754
Sn 0.000 0.000 0.246
Pm 0.500 0.500 0.000
Na 0.500 0.500 0.500
CELL_PARAMETERS angstrom
-3.421 0.103 0.048
-0.082 -3.236 1.111
0.220 3.090 9.016